No. 1
! KSrCr2Cu (GGA-PBEsol, relaxed); values from VASP
&SYSTEM
  ibrav = 0, nat = 5, ntyp = 4
/
ATOMIC_SPECIES
K 39.10 K.upf
Cr 52.00 Cr.upf
Sr 87.62 Sr.upf
Cu 63.55 Cu.upf
CELL_PARAMETERS angstrom
-2.3080 -4.6529 0.9318
4.7231 -1.9464 1.9795
-1.4018 1.6998 5.0160
ATOMIC_POSITIONS crystal
K 0.0000 0.0000 0.0000
Cr 0.0000 0.5000 0.0000
Cr 0.0000 0.0000 0.5000
Sr 0.5000 0.5000 0.5000
Cu 0.5000 0.0000 0.0000
! symmetry	P4/mmm, No. 123
! formation enthalpy at 0 K	1.724	eV per atom
! density	3.09	g cm⁻³
! E_tot	-3.835	eV per atom
! volume	31.68	Å³/atom



No. 2
! LaCrCu (GGA-PBEsol, relaxed); values from VASP
&SYSTEM
  ibrav = 0, nat = 3, ntyp = 3
/
ATOMIC_SPECIES
La 138.91 La.upf
Cr 52.00 Cr.upf
Cu 63.55 Cu.upf
CELL_PARAMETERS angstrom
-0.0288 -2.6346 -2.0782
3.1295 0.7288 -0.9674
0.3208 -2.0548 5.3099
ATOMIC_POSITIONS crystal
La 0.3302 0.3302 0.6603
Cr 0.0402 0.0402 0.0804
Cu 0.6296 0.6296 0.2592
! symmetry	I4mm, No. 107
! formation enthalpy at 0 K	0.445	eV per atom
! offset from the most stable computed form	0.00	eV per formula unit
! density	7.24	g cm⁻³
! E_tot	-6.196	eV per atom
! volume	19.46	Å³/atom